1.
Computed, not measured: a relaxed structure of La2Nd2CBr5 at the GGA-PBE level of DFT.

Structure (POSCAR):
```
La2Nd2CBr5
1.0
9.242 -2.008 0.000
9.242 2.008 0.000
-1.987 0.000 8.348
La Nd C Br
2 2 1 5
direct
0.001 0.001 0.292 La
0.999 0.999 0.708 La
0.359 0.359 0.425 Nd
0.641 0.641 0.575 Nd
0.500 0.500 0.500 C
0.167 0.167 0.837 Br
0.173 0.173 0.337 Br
0.500 0.500 0.000 Br
0.827 0.827 0.663 Br
0.833 0.833 0.163 Br
```

Its space group is C2/m, No. 12. Its raw total energy is -51.59 eV per formula unit. The volume is 31.0 Å³/atom.

=====

2.
Computed, not measured: a relaxed structure of La2Nd2C2Br5 at the GGA-PBE level of DFT.

Structure (POSCAR):
```
La2Nd2C2Br5
1.0
-1.987 4.145 9.212
1.987 -4.145 9.212
1.987 4.145 -9.212
La Nd C Br
2 2 2 5
direct
0.163 0.163 0.000 La
0.837 0.837 0.000 La
0.202 0.500 0.702 Nd
0.798 0.500 0.298 Nd
0.038 0.038 0.000 C
0.962 0.962 0.000 C
0.115 0.337 0.778 Br
0.441 0.663 0.778 Br
0.500 0.000 0.500 Br
0.559 0.337 0.222 Br
0.885 0.663 0.222 Br
```

Its space group is Immm, No. 71. The value obtained for the excess energy over the best structure of this formula in the dataset is 22 meV per atom. Its raw total energy is -61.62 eV per formula unit. The volume is 27.6 Å³/atom.

=====

3.
Computed, not measured: a relaxed structure of La3NdC2Br2 at the GGA-PBE level of DFT.

Structure (POSCAR):
```
La3NdC2Br2
1.0
3.860 0.000 0.000
-1.930 3.343 0.000
0.000 0.000 15.288
La Nd C Br
3 1 2 2
direct
0.000 0.000 0.000 La
0.000 0.000 0.318 La
0.667 0.333 0.504 La
0.667 0.333 0.818 Nd
0.333 0.667 0.411 C
0.333 0.667 0.906 C
0.000 0.000 0.666 Br
0.667 0.333 0.159 Br
```

Its space group is P3m1, No. 156. Its raw total energy is -48.53 eV per formula unit. The volume is 24.7 Å³/atom.

=====

4.
Computed, not measured: a relaxed structure of LaPrCBr at the GGA-PBE level of DFT.

Structure (POSCAR):
```
LaPrCBr
1.0
3.860 0.000 0.000
-1.930 3.343 0.000
0.000 0.000 15.236
La Pr C Br
2 2 2 2
direct
0.000 0.000 0.160 La
0.000 0.000 0.840 La
0.667 0.333 0.344 Pr
0.667 0.333 0.656 Pr
0.333 0.667 0.252 C
0.333 0.667 0.748 C
0.000 0.000 0.500 Br
0.667 0.333 0.000 Br
```

Its space group is P-6m2, No. 187. Its raw total energy is -24.14 eV per formula unit. The volume is 24.6 Å³/atom.

=====

5.
Computed, not measured: a relaxed structure of La2Pr2C2Br5 at the GGA-PBE level of DFT.

Structure (POSCAR):
```
La2Pr2C2Br5
1.0
9.829 -1.991 0.000
9.829 1.991 0.000
-2.271 0.000 8.070
La Pr C Br
2 2 2 5
direct
0.158 0.158 0.105 La
0.842 0.842 0.895 La
0.500 0.500 0.203 Pr
0.500 0.500 0.797 Pr
0.037 0.037 0.024 C
0.963 0.963 0.976 C
0.000 0.000 0.500 Br
0.334 0.334 0.170 Br
0.341 0.341 0.626 Br
0.659 0.659 0.374 Br
0.666 0.666 0.830 Br
```

Its space group is C2/m, No. 12. Its raw total energy is -61.70 eV per formula unit. The volume is 28.7 Å³/atom.

=====

6.
Computed, not measured: a relaxed structure of LaPrCBr at the GGA-PBE level of DFT.

Structure (POSCAR):
```
LaPrCBr
1.0
3.858 0.000 0.000
-1.929 3.341 0.000
0.000 0.000 15.247
La Pr C Br
2 2 2 2
direct
0.333 0.667 0.407 La
0.667 0.333 0.593 La
0.333 0.667 0.091 Pr
0.667 0.333 0.909 Pr
0.000 0.000 0.000 C
0.000 0.000 0.500 C
0.333 0.667 0.754 Br
0.667 0.333 0.246 Br
```

Its space group is P-3m1, No. 164. Its raw total energy is -24.14 eV per formula unit. The volume is 24.6 Å³/atom.